The following is a DFT calculation (PBE) of LiBe2Pd8 after structural relaxation.

It has space group C2/m (No. 12), with a = 6.998 Å, b = 10.440 Å, c = 4.454 Å, α = 90.00°, β = 107.16° and γ = 90.00°. The inequivalent atoms are Li at (0.000, 0.000, 0.000), Be at (0.000, 0.313, 0.500), Pd at (0.000, 0.240, 0.000), Pd at (0.116, 0.500, 0.809) and Pd at (0.205, 0.127, 0.596).

The total magnetization comes out at 0.000 μB/f.u. The calculation puts the density at 9.4 g/cm³. For the total energy, the calculation gives -4.90 eV per atom. Its offset from the most stable computed form is 0.00 eV per formula unit.